A geometry-optimized Cs3Tc2N4 structure. Source: the Alexandria database, functional PBE.

* crystal system: orthorhombic
* symmetry: Imma, No. 74
* size of the total moment: 0.26 μB/cell
* electronic total energy: -0.47413 Ry per atom

Cell lengths 6.2444, 8.7013, 10.5667 Å; angles 114.31, 107.18, 90.00 degrees
Closest atoms and distances in Å follow each position.
Element x y z (fractional)
N1 0.4276 0.4963 0.8550  2 Tc 1.94-1.96
N2 0.9276 0.8588 0.8550  2 Tc 1.94-1.96
N3 0.5724 0.5037 0.1450  2 Tc 1.94-1.96
N4 0.7013 0.2012 0.9024  2 Tc 1.88
N5 0.0724 0.1412 0.1450  2 Tc 1.94-1.96
N6 0.7987 0.7988 0.0976  2 Tc 1.88
N7 0.2013 0.2012 0.9024  2 Tc 1.88
N8 0.2987 0.7988 0.0976  2 Tc 1.88
Cs1 0.1045 0.5447 0.2092  5 N 3.18-3.28
Cs2 0.7500 0.7885 0.5000  2 N 3.37
Cs3 0.8955 0.4553 0.7908  5 N 3.18-3.28
Cs4 0.6045 0.1645 0.2092  5 N 3.18-3.28
Cs5 0.2500 0.2115 0.5000  2 N 3.37
Cs6 0.3955 0.8355 0.7908  5 N 3.18-3.28
Tc1 0.5286 0.6655 0.0574  4 N 1.88-1.96
Tc2 0.0286 0.8919 0.0574  4 N 1.88-1.96
Tc3 0.4714 0.3345 0.9426  4 N 1.88-1.96
Tc4 0.9714 0.1081 0.9426  4 N 1.88-1.96